No. 1
Entry from the Alexandria database: a geometry-optimized PrZnCdGa2 structure (PBE).

Geometry as CIF:
```
data_PrZnCdGa2
_chemical_formula_sum 'Pr1 Zn1 Cd1 Ga2'
_symmetry_space_group_name_H-M 'P 1'
_symmetry_Int_Tables_number 1
_symmetry_space_group_name_Hall 'P 1'
_cell_length_a 6.3826
_cell_length_b 6.3826
_cell_length_c 6.3826
_cell_angle_alpha 140.38
_cell_angle_beta 140.38
_cell_angle_gamma 57.28
loop_
_atom_site_label
_atom_site_fract_x
_atom_site_fract_y
_atom_site_fract_z
_atom_site_occupancy
Pr1 0.0000 0.0000 0.0000 1
Zn1 0.7500 0.2500 0.5000 1
Cd1 0.2500 0.7500 0.5000 1
Ga1 0.3902 0.3902 0.0000 1
Ga2 0.6098 0.6098 0.0000 1
```

Calculated values
Symmetry: I-4m2, No. 119
Calculated formation energy: -437 meV/atom

---

No. 2
Entry from the Alexandria database: a geometry-optimized NdZnNi3 structure (PBE).

Geometry as CIF:
```
data_NdZnNi3
_chemical_formula_sum 'Nd2 Zn2 Ni6'
_symmetry_space_group_name_H-M 'P 1'
_symmetry_Int_Tables_number 1
_symmetry_space_group_name_Hall 'P 1'
_cell_length_a 6.2681
_cell_length_b 6.2681
_cell_length_c 6.2681
_cell_angle_alpha 132.82
_cell_angle_beta 114.60
_cell_angle_gamma 84.49
loop_
_atom_site_label
_atom_site_fract_x
_atom_site_fract_y
_atom_site_fract_z
_atom_site_occupancy
Nd1 0.0000 0.0000 0.0000 1
Nd2 0.5000 0.0000 0.5000 1
Zn1 0.2784 0.5284 0.7500 1
Zn2 0.7216 0.4716 0.2500 1
Ni1 0.1318 0.6954 0.4364 1
Ni2 0.2410 0.3046 0.9364 1
Ni3 0.5000 0.0000 0.0000 1
Ni4 0.5000 0.5000 0.5000 1
Ni5 0.7590 0.6954 0.0636 1
Ni6 0.8682 0.3046 0.5636 1
```

Calculated values
Symmetry: Imma, No. 74
Calculated formation energy: -172 meV/atom

---

No. 3
Entry from the Alexandria database: a geometry-optimized SrAgSb structure (PBE).

Geometry as CIF:
```
data_SrAgSb
_chemical_formula_sum 'Sr2 Ag2 Sb2'
_symmetry_space_group_name_H-M 'P 1'
_symmetry_Int_Tables_number 1
_symmetry_space_group_name_Hall 'P 1'
_cell_length_a 4.8136
_cell_length_b 4.8136
_cell_length_c 8.6940
_cell_angle_alpha 90.00
_cell_angle_beta 90.00
_cell_angle_gamma 120.00
loop_
_atom_site_label
_atom_site_fract_x
_atom_site_fract_y
_atom_site_fract_z
_atom_site_occupancy
Sr1 0.0000 0.0000 0.0000 1
Sr2 0.0000 0.0000 0.5000 1
Ag1 0.3333 0.6667 0.2500 1
Ag2 0.6667 0.3333 0.7500 1
Sb1 0.3333 0.6667 0.7500 1
Sb2 0.6667 0.3333 0.2500 1
```

Calculated values
Symmetry: P6_3/mmc, No. 194
E_form (uncorrected): -0.751 eV/atom

---

No. 4
Entry from the Alexandria database: a geometry-optimized KCr2Rh structure (PBE).

Geometry as CIF:
```
data_KCr2Rh
_chemical_formula_sum 'K1 Cr2 Rh1'
_symmetry_space_group_name_H-M 'P 1'
_symmetry_Int_Tables_number 1
_symmetry_space_group_name_Hall 'P 1'
_cell_length_a 10.3448
_cell_length_b 10.3448
_cell_length_c 10.3448
_cell_angle_alpha 15.07
_cell_angle_beta 15.07
_cell_angle_gamma 15.07
loop_
_atom_site_label
_atom_site_fract_x
_atom_site_fract_y
_atom_site_fract_z
_atom_site_occupancy
K1 0.0000 0.0000 0.0000 1
Cr1 0.2344 0.2344 0.2344 1
Cr2 0.7656 0.7656 0.7656 1
Rh1 0.5000 0.5000 0.5000 1
```

Calculated values
Symmetry: R-3m, No. 166
Calculated formation energy: 982 meV/atom

---

No. 5
Entry from the Alexandria database: a geometry-optimized La2Al5Rh3 structure (PBE).

Geometry as CIF:
```
data_La2Al5Rh3
_chemical_formula_sum 'La4 Al10 Rh6'
_symmetry_space_group_name_H-M 'P 1'
_symmetry_Int_Tables_number 1
_symmetry_space_group_name_Hall 'P 1'
_cell_length_a 8.7452
_cell_length_b 8.7452
_cell_length_c 8.7452
_cell_angle_alpha 107.45
_cell_angle_beta 85.43
_cell_angle_gamma 141.24
loop_
_atom_site_label
_atom_site_fract_x
_atom_site_fract_y
_atom_site_fract_z
_atom_site_occupancy
La1 0.1420 0.2222 0.3641 1
La2 0.3580 0.7222 0.0802 1
La3 0.6420 0.2778 0.9198 1
La4 0.8580 0.7778 0.6359 1
Al1 0.0433 0.7500 0.2933 1
Al2 0.0867 0.6668 0.7535 1
Al3 0.2500 0.2500 0.0000 1
Al4 0.4133 0.1668 0.5800 1
Al5 0.4567 0.7500 0.7067 1
Al6 0.5433 0.2500 0.2933 1
Al7 0.5867 0.8332 0.4200 1
Al8 0.7500 0.7500 0.0000 1
Al9 0.9133 0.3332 0.2465 1
Al10 0.9567 0.2500 0.7067 1
Rh1 0.1448 0.9033 0.0481 1
Rh2 0.2500 0.7500 0.5000 1
Rh3 0.3552 0.4033 0.7584 1
Rh4 0.6448 0.5967 0.2416 1
Rh5 0.7500 0.2500 0.5000 1
Rh6 0.8552 0.0967 0.9519 1
```

Calculated values
Symmetry: Ibam, No. 72
Calculated formation energy: -817 meV/atom

---

No. 6
Entry from the Alexandria database: a geometry-optimized ErBePPt structure (PBE).

Geometry as CIF:
```
data_ErBePPt
_chemical_formula_sum 'Er2 Be2 P2 Pt2'
_symmetry_space_group_name_H-M 'P 1'
_symmetry_Int_Tables_number 1
_symmetry_space_group_name_Hall 'P 1'
_cell_length_a 3.9629
_cell_length_b 3.9629
_cell_length_c 8.7371
_cell_angle_alpha 90.00
_cell_angle_beta 90.00
_cell_angle_gamma 90.00
loop_
_atom_site_label
_atom_site_fract_x
_atom_site_fract_y
_atom_site_fract_z
_atom_site_occupancy
Er1 0.2500 0.2500 0.1865 1
Er2 0.7500 0.7500 0.8135 1
Be1 0.2500 0.2500 0.6282 1
Be2 0.7500 0.7500 0.3718 1
P1 0.2500 0.2500 0.8663 1
P2 0.7500 0.7500 0.1337 1
Pt1 0.2500 0.7500 0.5000 1
Pt2 0.7500 0.2500 0.5000 1
```

Calculated values
Symmetry: P4/nmm, No. 129
Calculated formation energy: -1073 meV/atom

---

No. 7
Entry from the Alexandria database: a geometry-optimized K4Er3OsO8 structure (PBE).

Geometry as CIF:
```
data_K4Er3OsO8
_chemical_formula_sum 'K4 Er3 Os1 O8'
_symmetry_space_group_name_H-M 'P 1'
_symmetry_Int_Tables_number 1
_symmetry_space_group_name_Hall 'P 1'
_cell_length_a 7.3188
_cell_length_b 7.3188
_cell_length_c 7.3188
_cell_angle_alpha 54.70
_cell_angle_beta 54.70
_cell_angle_gamma 54.70
loop_
_atom_site_label
_atom_site_fract_x
_atom_site_fract_y
_atom_site_fract_z
_atom_site_occupancy
K1 0.0000 0.0000 0.0000 1
K2 0.0000 0.5000 0.5000 1
K3 0.5000 0.0000 0.5000 1
K4 0.5000 0.5000 0.0000 1
Er1 0.0000 0.0000 0.5000 1
Er2 0.0000 0.5000 0.0000 1
Er3 0.5000 0.0000 0.0000 1
Os1 0.5000 0.5000 0.5000 1
O1 0.2284 0.2284 0.2284 1
O2 0.2391 0.7234 0.7234 1
O3 0.2766 0.2766 0.7609 1
O4 0.2766 0.7609 0.2766 1
O5 0.7234 0.2391 0.7234 1
O6 0.7234 0.7234 0.2391 1
O7 0.7609 0.2766 0.2766 1
O8 0.7716 0.7716 0.7716 1
```

Calculated values
Symmetry: R-3m, No. 166
E_form (uncorrected): -2.240 eV/atom

---

No. 8
Entry from the Alexandria database: a geometry-optimized Ca2Mg12Ga7 structure (PBE).

Geometry as CIF:
```
data_Ca2Mg12Ga7
_chemical_formula_sum 'Ca2 Mg12 Ga7'
_symmetry_space_group_name_H-M 'P 1'
_symmetry_Int_Tables_number 1
_symmetry_space_group_name_Hall 'P 1'
_cell_length_a 12.0349
_cell_length_b 12.0349
_cell_length_c 3.5936
_cell_angle_alpha 90.00
_cell_angle_beta 90.00
_cell_angle_gamma 120.00
loop_
_atom_site_label
_atom_site_fract_x
_atom_site_fract_y
_atom_site_fract_z
_atom_site_occupancy
Ca1 0.3333 0.6667 0.2563 1
Ca2 0.6667 0.3333 0.7437 1
Mg1 0.0651 0.4444 0.7508 1
Mg2 0.0959 0.2512 0.2493 1
Mg3 0.1552 0.9041 0.2493 1
Mg4 0.2512 0.1552 0.7507 1
Mg5 0.3793 0.9349 0.7508 1
Mg6 0.4444 0.3793 0.2492 1
Mg7 0.5556 0.6207 0.7508 1
Mg8 0.6207 0.0651 0.2492 1
Mg9 0.7488 0.8448 0.2493 1
Mg10 0.8448 0.0959 0.7507 1
Mg11 0.9041 0.7488 0.7507 1
Mg12 0.9349 0.5556 0.2492 1
Ga1 0.0000 0.0000 0.5000 1
Ga2 0.1354 0.7086 0.7549 1
Ga3 0.2914 0.4268 0.7549 1
Ga4 0.4268 0.1354 0.2451 1
Ga5 0.5732 0.8646 0.7549 1
Ga6 0.7086 0.5732 0.2451 1
Ga7 0.8646 0.2914 0.2451 1
```

Calculated values
Symmetry: P-3, No. 147
Calculated formation energy: -211 meV/atom

---

| no. | mass density (kg/m3) |
| --- | --- |
| 1 | 7256 |
| 2 | 8126 |
| 3 | 6039 |
| 4 | 6263 |
| 5 | 6209 |
| 6 | 9738 |
| 7 | 6674 |
| 8 | 3168 |